Crystalline K2Ce2Fe4O11 at its relaxed geometry, computed with PBE+U.

Properties
calculated volume	12.76	Å³ per atom
density	5.192	g/cm³
final energy	-130.068	eV per formula unit
D(E_F)	14.1	states/eV per cell

Cell: 7.9025 15.7510 3.8945 Å, 90.00 90.00 90.00°
Closest atoms and distances in Å follow each position.
Space group Cmmm (No. 65)
Symmetry-distinct sites (fractional):
K: 0.2500 0.2500 0.0000 x4  6 O 2.77-3.00
Ce: 0.2345 0.0000 0.0000 x4  10 O 2.46-2.69
Fe: 0.0000 0.1264 0.5000 x4  6 O 1.95-2.13
Fe: 0.0000 0.3693 0.5000 x4  5 O 1.88-2.07
O: 0.0000 0.0000 0.5000 x2  2 Fe 1.99
O: 0.0000 0.1070 0.0000 x4  2 Fe 1.97
O: 0.0000 0.2499 0.5000 x4  2 Fe 1.88-1.95
O: 0.0000 0.4133 0.0000 x4  2 Fe 2.07
O: 0.2380 0.4058 0.5000 x8  2 Fe 1.97-2.13